Here is a relaxed YBeIn2 crystal from Alexandria. Energies are from PBE-GGA.

**SG**: No. 123
**Energy**: -4.03 eV/atom

Cell: 4.4646 4.3947 4.3947 Å, 90.00 90.00 90.00°
With the nearest neighbours (Å) after each atom.
Fractional positions:
In 0.0000 0.5000 0.5000  4 In 3.11, 4 Be 3.13, 4 Y 3.13
Be 0.5000 0.0000 0.5000  4 Y 3.11, 8 In 3.13
In 0.0000 0.0000 0.0000  4 In 3.11, 4 Be 3.13, 4 Y 3.13
Y 0.5000 0.5000 0.0000  4 Be 3.11, 8 In 3.13


Here is a relaxed ErMgTlPb crystal from Alexandria. Energies are from PBE-GGA.

**SG**: No. 47
**Excess energy over the best structure of this formula in the dataset**: 0.0 meV per atom

Cell: 4.4222 4.9506 4.7318 Å, 90.00 90.00 90.00°
With the nearest neighbours (Å) after each atom.
Fractional positions:
Tl 0.0000 0.0000 0.0000  4 Mg 3.24, 4 Er 3.32, 4 Pb 3.42
Er 0.5000 0.5000 0.0000  4 Pb 3.24, 4 Tl 3.32, 4 Mg 3.42
Pb 0.0000 0.5000 0.5000  4 Er 3.24, 4 Mg 3.32, 4 Tl 3.42
Mg 0.5000 0.0000 0.5000  4 Tl 3.24, 4 Pb 3.32, 4 Er 3.42


Here is a relaxed Li4YTe crystal from Alexandria. Energies are from PBE-GGA.

**SG**: No. 216
**E_form (uncorrected)**: -0.75 eV per formula unit

Cell: 5.6685 5.6685 5.6685 Å, 60.00 60.00 60.00°
With the nearest neighbours (Å) after each atom.
Fractional positions:
Y 0.0000 0.0000 0.0000  12 Li 3.32, 4 Te 3.47
Li 0.8739 0.3754 0.3754  6 Li 2.83-2.84
Li 0.3754 0.8739 0.3754  6 Li 2.83-2.84
Te 0.7500 0.7500 0.7500  12 Li 3.32, 4 Y 3.47
Li 0.3754 0.3754 0.3754  6 Li 2.83-2.84
Li 0.3754 0.3754 0.8739  6 Li 2.83-2.84


Here is a relaxed BaZnCr3 crystal from Alexandria. Energies are from PBE-GGA.

**SG**: No. 221
**Excess energy over the best structure of this formula in the dataset**: 0.0 meV per atom

Cell: 5.0193 5.0193 5.0193 Å, 90.00 90.00 90.00°
With the nearest neighbours (Å) after each atom.
Fractional positions:
Cr 0.5000 0.0000 0.0000  2 Zn 2.51
Cr 0.0000 0.0000 0.5000  2 Zn 2.51
Cr 0.0000 0.5000 0.0000  2 Zn 2.51
Zn 0.0000 0.0000 0.0000  6 Cr 2.51
Ba 0.5000 0.5000 0.5000  12 Cr 3.55


Here is a relaxed ThSi3Os crystal from Alexandria. Energies are from PBE-GGA.

**SG**: No. 31
**E_form (uncorrected)**: -2.68 eV per formula unit

Cell: 5.7234 5.6448 5.9645 Å, 90.00 90.00 90.00°
With the nearest neighbours (Å) after each atom.
Fractional positions:
Th 0.9273 0.0288 0.2008  8 Si 3.00-3.23, 1 Os 3.06
Si 0.4402 0.8491 0.4162  2 Os 2.36-2.42, 2 Si 2.51-2.57
Si 0.4402 0.8491 0.9853  2 Os 2.36-2.42, 2 Si 2.51-2.57
Os 0.1585 0.7921 0.7008  5 Si 2.34-2.42
Si 0.9119 0.1225 0.7008  1 Os 2.34, 2 Si 2.51
Si 0.9402 0.5037 0.9162  2 Os 2.36-2.42, 2 Si 2.51-2.57
Th 0.4273 0.3239 0.7008  8 Si 3.00-3.23, 1 Os 3.06
Si 0.4119 0.2303 0.2008  1 Os 2.34, 2 Si 2.51
Os 0.6585 0.5607 0.2008  5 Si 2.34-2.42
Si 0.9402 0.5037 0.4853  2 Os 2.36-2.42, 2 Si 2.51-2.57


Here is a relaxed ReHg2Rh crystal from Alexandria. Energies are from PBE-GGA.

**SG**: No. 139
**Excess energy over the best structure of this formula in the dataset**: 529.4 meV per atom

Cell: 4.9992 4.9992 4.9992 Å, 130.19 130.19 73.10°
With the nearest neighbours (Å) after each atom.
Fractional positions:
Re 0.5000 0.5000 0.0000  8 Hg 2.91, 4 Rh 2.98
Hg 0.7500 0.2500 0.5000  4 Re 2.91, 4 Rh 2.91, 4 Hg 2.98
Hg 0.2500 0.7500 0.5000  4 Re 2.91, 4 Rh 2.91, 4 Hg 2.98
Rh 0.0000 0.0000 0.0000  8 Hg 2.91, 4 Re 2.98